No. 1
This record from Alexandria describes an optimized crystal structure of NaLiSe2. The functional is GGA-PBE.

Lattice parameters (Å, degrees): 4.9819 4.9819 4.0872 90.00 90.00 112.59
Atoms (fractional coordinates):
Na: 0.0000 0.0000 0.0000
Li: 0.5000 0.5000 0.5000
Se: 0.0000 0.5000 0.5000
Se: 0.5000 0.0000 0.5000

Calculated values
The calculation puts the magnetization at 0.00 μB per formula unit. As for the formation energy without anion corrections: -3.10 eV per formula unit. The value obtained for the density is 3.33 g/cm3. For the density of states at the Fermi level, the calculation gives 0.878 states/eV per cell. Its total energy is -3.324 eV/atom.

No. 2
This record from Alexandria describes an optimized crystal structure of NaLiSe3. The functional is GGA-PBE.

Lattice parameters (Å, degrees): 4.8327 4.8327 4.8327 90.00 90.00 90.00
Atoms (fractional coordinates):
Na: 0.0000 0.0000 0.0000
Li: 0.5000 0.5000 0.5000
Se: 0.0000 0.5000 0.5000
Se: 0.5000 0.0000 0.5000
Se: 0.5000 0.5000 0.0000

Calculated values
The calculation puts the magnetization at 0.00 μB per formula unit. As for the formation energy without anion corrections: -0.94 eV per formula unit. The value obtained for the density is 3.93 g/cm3. For the density of states at the Fermi level, the calculation gives 4.466 states/eV per cell. Its total energy is -2.924 eV/atom.

No. 3
This record from Alexandria describes an optimized crystal structure of NaLiSe. The functional is GGA-PBE.

Lattice parameters (Å, degrees): 4.8611 4.8611 4.8611 132.22 132.22 69.88
Atoms (fractional coordinates):
Na: 0.0000 0.0000 0.0000
Li: 0.3199 0.3199 0.0000
Se: 0.6492 0.6492 0.0000

Calculated values
The calculation puts the magnetization at 0.00 μB per formula unit. As for the formation energy without anion corrections: -2.70 eV per formula unit. The value obtained for the density is 2.93 g/cm3. Its total energy is -3.141 eV/atom.

No. 4
This record from Alexandria describes an optimized crystal structure of NaLiSe2. The functional is GGA-PBE.

Lattice parameters (Å, degrees): 8.8941 8.8941 8.8941 146.37 146.37 48.30
Atoms (fractional coordinates):
Na: 0.0000 0.0000 0.0000
Na: 0.7500 0.2500 0.5000
Li: 0.2500 0.7500 0.5000
Li: 0.5000 0.5000 0.0000
Se: 0.2976 0.6250 0.1726
Se: 0.3750 0.5476 0.6726
Se: 0.4524 0.1250 0.8274
Se: 0.8750 0.7024 0.3274

Calculated values
The calculation puts the magnetization at 0.00 μB per formula unit. As for the formation energy without anion corrections: -3.11 eV per formula unit. The value obtained for the density is 2.90 g/cm3. For the density of states at the Fermi level, the calculation gives 0.000 states/eV per cell. Its total energy is -3.329 eV/atom.

No. 5
This record from Alexandria describes an optimized crystal structure of NaLi2Se2. The functional is GGA-PBE.

Lattice parameters (Å, degrees): 4.4429 4.4429 6.1388 99.98 99.98 59.71
Atoms (fractional coordinates):
Na: 0.0000 0.0000 0.0000
Li: 0.2780 0.2780 0.6610
Li: 0.7220 0.7220 0.3390
Se: 0.3752 0.3752 0.2714
Se: 0.6248 0.6248 0.7286

Calculated values
The calculation puts the magnetization at 0.00 μB per formula unit. As for the formation energy without anion corrections: -4.82 eV per formula unit. The value obtained for the density is 3.16 g/cm3. For the density of states at the Fermi level, the calculation gives 1.998 states/eV per cell. Its total energy is -3.386 eV/atom.

No. 6
This record from Alexandria describes an optimized crystal structure of NaLiSe3. The functional is GGA-PBE.

Lattice parameters (Å, degrees): 5.3134 7.3181 6.5875 90.00 90.14 90.00
Atoms (fractional coordinates):
Na: 0.1443 0.2500 0.0983
Na: 0.8557 0.7500 0.9017
Li: 0.4101 0.7500 0.4626
Li: 0.5899 0.2500 0.5374
Se: 0.0922 0.2500 0.5673
Se: 0.2837 0.5010 0.7520
Se: 0.2837 0.9990 0.7520
Se: 0.7163 0.0010 0.2480
Se: 0.7163 0.4990 0.2480
Se: 0.9078 0.7500 0.4327

Calculated values
The calculation puts the magnetization at 0.00 μB per formula unit. As for the formation energy without anion corrections: -3.26 eV per formula unit. The value obtained for the density is 3.46 g/cm3. Its total energy is -3.390 eV/atom.

No. 7
This record from Alexandria describes an optimized crystal structure of NaLi2Se2. The functional is GGA-PBE.

Lattice parameters (Å, degrees): 7.8811 7.8811 3.1399 90.00 90.00 90.00
Atoms (fractional coordinates):
Na: 0.0000 0.0000 0.0000
Na: 0.5000 0.5000 0.0000
Li: 0.1258 0.3742 0.5000
Li: 0.3742 0.8742 0.5000
Li: 0.6258 0.1258 0.5000
Li: 0.8742 0.6258 0.5000
Se: 0.1717 0.6717 0.0000
Se: 0.3283 0.1717 0.0000
Se: 0.6717 0.8283 0.0000
Se: 0.8283 0.3283 0.0000

Calculated values
The calculation puts the magnetization at 0.00 μB per formula unit. As for the formation energy without anion corrections: -4.69 eV per formula unit. The value obtained for the density is 3.32 g/cm3. For the density of states at the Fermi level, the calculation gives 1.032 states/eV per cell. Its total energy is -3.361 eV/atom.

No. 8
This record from Alexandria describes an optimized crystal structure of NaLiSe2. The functional is GGA-PBE.

Lattice parameters (Å, degrees): 9.2784 9.2784 9.2784 21.54 21.54 21.54
Atoms (fractional coordinates):
Na: 0.0000 0.0000 0.0000
Li: 0.5000 0.5000 0.5000
Se: 0.4130 0.4130 0.4130
Se: 0.5870 0.5870 0.5870

Calculated values
The calculation puts the magnetization at 0.00 μB per formula unit. As for the formation energy without anion corrections: -1.74 eV per formula unit. The value obtained for the density is 3.31 g/cm3. For the density of states at the Fermi level, the calculation gives 2.948 states/eV per cell. Its total energy is -2.985 eV/atom.

No. 9
This record from Alexandria describes an optimized crystal structure of NaLi3Se. The functional is GGA-PBE.

Lattice parameters (Å, degrees): 4.8971 4.8971 4.8971 90.00 90.00 90.00
Atoms (fractional coordinates):
Na: 0.0000 0.0000 0.0000
Li: 0.0000 0.0000 0.5000
Li: 0.0000 0.5000 0.0000
Li: 0.5000 0.0000 0.0000
Se: 0.5000 0.5000 0.5000

Calculated values
The calculation puts the magnetization at 0.00 μB per formula unit. As for the formation energy without anion corrections: 0.64 eV per formula unit. The value obtained for the density is 1.74 g/cm3. For the density of states at the Fermi level, the calculation gives 0.000 states/eV per cell. Its total energy is -1.981 eV/atom.

No. 10
This record from Alexandria describes an optimized crystal structure of NaLiSe2. The functional is GGA-PBE.

Lattice parameters (Å, degrees): 4.8566 4.8566 4.8566 60.00 60.00 60.00
Atoms (fractional coordinates):
Na: 0.0000 0.0000 0.0000
Li: 0.5000 0.5000 0.5000
Se: 0.2500 0.2500 0.2500
Se: 0.7500 0.7500 0.7500

Calculated values
The calculation puts the magnetization at 0.00 μB per formula unit. As for the formation energy without anion corrections: -2.42 eV per formula unit. The value obtained for the density is 3.85 g/cm3. For the density of states at the Fermi level, the calculation gives 2.796 states/eV per cell. Its total energy is -3.155 eV/atom.

No. 11
This record from Alexandria describes an optimized crystal structure of NaLi2Se. The functional is GGA-PBE.

Lattice parameters (Å, degrees): 7.7295 7.7295 7.7295 120.52 120.52 89.11
Atoms (fractional coordinates):
Na: 0.0000 0.0000 0.0000
Na: 0.7500 0.2500 0.5000
Li: 0.3572 0.6250 0.2322
Li: 0.3750 0.6072 0.7322
Li: 0.3928 0.1250 0.7678
Li: 0.8750 0.6428 0.2678
Se: 0.2500 0.7500 0.5000
Se: 0.5000 0.5000 0.0000

Calculated values
The calculation puts the magnetization at 0.00 μB per formula unit. As for the formation energy without anion corrections: -2.22 eV per formula unit. The value obtained for the density is 1.19 g/cm3. For the density of states at the Fermi level, the calculation gives 0.997 states/eV per cell. Its total energy is -2.714 eV/atom.

No. 12
This record from Alexandria describes an optimized crystal structure of NaLi2SiSe4. The functional is GGA-PBE.

Lattice parameters (Å, degrees): 6.2800 6.2800 6.2800 112.87 112.87 102.86
Atoms (fractional coordinates):
Na: 0.0000 0.0000 0.0000
Li: 0.2500 0.7500 0.5000
Li: 0.7500 0.2500 0.5000
Si: 0.5000 0.5000 0.0000
Se: 0.1428 0.5274 0.0000
Se: 0.4726 0.4726 0.6154
Se: 0.5274 0.1428 0.0000
Se: 0.8572 0.8572 0.3846

Calculated values
The calculation puts the magnetization at 0.00 μB per formula unit. As for the formation energy without anion corrections: -6.48 eV per formula unit. The value obtained for the density is 3.35 g/cm3. For the density of states at the Fermi level, the calculation gives 7.502 states/eV per cell. Its total energy is -3.873 eV/atom.